(1)
! EuNiO3 | Alexandria via LeMat-Bulk | SCAN | PBEsol geometry; values from VASP
&SYSTEM
  ibrav = 0, nat = 5, ntyp = 3
/
ATOMIC_SPECIES
Eu 151.96 Eu.upf
Ni 58.69 Ni.upf
O 16.00 O.upf
ATOMIC_POSITIONS angstrom
Eu 0.000 0.000 0.000
Ni 1.866 1.866 1.866
O 0.000 1.866 1.866
O 1.866 0.000 1.866
O 1.866 1.866 0.000
CELL_PARAMETERS angstrom
3.731 0.000 0.000
0.000 3.731 0.000
0.000 0.000 3.731
! raw formation energy = -2120 meV per atom
! space-group type = Pm-3m, No. 221
! total magnetization = 1.102 μB per atom

---

(2)
! EuNiP | Alexandria via LeMat-Bulk | SCAN | PBEsol geometry; values from VASP
&SYSTEM
  ibrav = 0, nat = 3, ntyp = 3
/
ATOMIC_SPECIES
Eu 151.96 Eu.upf
Ni 58.69 Ni.upf
P 30.97 P.upf
ATOMIC_POSITIONS angstrom
Eu 0.000 0.000 0.000
Ni 1.929 1.114 2.072
P 0.000 2.227 2.072
CELL_PARAMETERS angstrom
3.858 0.000 0.000
-1.929 3.341 0.000
0.000 0.000 4.143
! energy of formation = -1.03 eV/atom
! space-group type = P-6m2, No. 187
! total magnetization = 2.208 μB per atom

---

(3)
! EuNi10P6 | Alexandria via LeMat-Bulk | SCAN | PBEsol geometry; values from VASP
&SYSTEM
  ibrav = 0, nat = 34, ntyp = 3
/
ATOMIC_SPECIES
Eu 151.96 Eu.upf
Ni 58.69 Ni.upf
P 30.97 P.upf
ATOMIC_POSITIONS angstrom
Eu 0.000 0.000 0.000
Eu 3.182 0.000 4.293
Ni 1.273 2.726 4.030
Ni 3.182 7.200 5.316
Ni 1.591 2.600 6.439
Ni 1.908 2.726 0.263
Ni 3.182 4.642 6.788
Ni 3.182 3.237 2.496
Ni 1.273 -2.726 4.555
Ni 1.591 -2.600 2.146
Ni 3.182 0.679 1.023
Ni 1.908 -2.726 8.322
Ni 4.455 2.726 0.263
Ni 3.182 -0.679 7.562
Ni 4.773 2.600 6.439
Ni 5.090 2.726 4.030
Ni 3.182 -3.237 6.089
Ni 3.182 -4.642 1.797
Ni 4.455 -2.726 8.322
Ni 4.773 -2.600 2.146
Ni 3.182 -7.200 3.269
Ni 5.090 -2.726 4.555
P 3.182 6.430 3.170
P 1.591 1.622 2.146
P 3.182 4.599 0.616
P 3.182 3.279 4.909
P 1.591 -1.622 6.439
P 3.182 1.448 7.463
P 3.182 -1.448 1.122
P 4.773 1.622 2.146
P 3.182 -3.279 3.676
P 3.182 -4.599 7.969
P 4.773 -1.622 6.439
P 3.182 -6.430 5.415
CELL_PARAMETERS angstrom
3.182 -7.878 0.000
3.182 7.878 0.000
0.000 0.000 8.585
! energy of formation = -0.67 eV/atom
! space-group type = Cmce, No. 64
! total magnetization = 0.402 μB per atom

---

(4)
! EuNi2P2 | Alexandria via LeMat-Bulk | SCAN | PBEsol geometry; values from VASP
&SYSTEM
  ibrav = 0, nat = 10, ntyp = 3
/
ATOMIC_SPECIES
Eu 151.96 Eu.upf
Ni 58.69 Ni.upf
P 30.97 P.upf
ATOMIC_POSITIONS angstrom
Eu 0.000 0.000 0.000
Eu 1.941 1.941 4.695
Ni 0.000 1.941 2.348
Ni 0.000 1.941 7.043
Ni 1.941 0.000 2.348
Ni 1.941 0.000 7.043
P 0.000 0.000 3.514
P 0.000 0.000 5.876
P 1.941 1.941 1.181
P 1.941 1.941 8.209
CELL_PARAMETERS angstrom
3.882 0.000 0.000
0.000 3.882 0.000
0.000 0.000 9.391
! energy of formation = -0.93 eV/atom
! space-group type = I4/mmm, No. 139
! total magnetization = 1.349 μB per atom

---

Here are the calculated E numbers, same order: -1.4579, -2.0429, -1.2501, -1.6388 (Ry/atom).